Entry 1:
A relaxed K2GeAs2 crystal, computed with PBE-GGA.

extended XYZ file:
```
10
Lattice="-3.5454 6.7529 3.3334 3.5454 -6.7529 3.3334 3.5454 6.7529 -3.3334" Properties=species:S:1:pos:R:3 pbc="T T T"
K 1.1721 1.9191 0.0000
K 1.1721 -1.9191 3.3334
K 2.3733 8.6720 0.0000
K 2.3733 4.8338 3.3334
Ge 3.5454 0.0000 1.6667
Ge 0.0000 6.7529 1.6667
As 4.7558 1.4060 0.0000
As 1.2105 5.3469 0.0000
As 2.3349 1.4060 3.3334
As -1.2105 5.3469 3.3334
```


Entry 2:
A relaxed K2LiGeAs crystal, computed with PBE-GGA.

extended XYZ file:
```
5
Lattice="6.6318 0.0000 0.0000 0.0000 6.6318 0.0000 0.0000 0.0000 4.8308" Properties=species:S:1:pos:R:3 pbc="T T T"
K 0.0000 3.3159 0.0000
K 3.3159 0.0000 0.0000
Li 0.0000 0.0000 2.4154
Ge 3.3159 3.3159 0.0000
As 3.3159 3.3159 2.4154
```


Entry 3:
A relaxed K2LiGeAs2 crystal, computed with PBE-GGA.

extended XYZ file:
```
12
Lattice="-3.2304 7.5984 3.2630 3.2304 -7.5984 3.2630 3.2304 7.5984 -3.2630" Properties=species:S:1:pos:R:3 pbc="T T T"
K 1.5434 2.6067 0.0000
K 1.5434 -2.6067 3.2630
K 1.6870 10.2051 0.0000
K 1.6870 4.9916 3.2630
Li 0.0000 0.0000 1.6315
Li 0.0000 0.0000 4.8945
Ge 3.2304 0.0000 1.6315
Ge 0.0000 7.5984 1.6315
As 4.7612 1.4164 0.0000
As 1.5308 6.1820 0.0000
As 1.6997 1.4164 3.2630
As -1.5308 6.1820 3.2630
```


Number 1: formation enthalpy at 0 K -2.0 eV/f.u.. Number 2: formation enthalpy at 0 K 0.8 eV/f.u.. Number 3: formation enthalpy at 0 K -2.6 eV/f.u..